1.
## FeSi2 (PBE-GGA)

Data for a relaxed FeSi2 crystal.

M_tot, μB per formula unit: 1.5
Formation energy from raw total energies, meV/atom: 435
DOS at the Fermi energy, states/eV/atom: 0.700
Crystal system: hexagonal
DFT total energy, eV per atom: -6.00

```
12
Lattice="4.7470 0.0000 0.0000 -2.3735 4.1110 0.0000 0.0000 0.0000 8.6882" Properties=species:S:1:pos:R:3 pbc="T T T"
Fe 0.0000 2.7407 0.2596
Fe 0.0000 2.7407 4.0845
Fe 2.3735 1.3703 4.6037
Fe 2.3735 1.3703 8.4286
Si 0.0000 0.0000 0.0000
Si 0.0000 0.0000 4.3441
Si 0.0000 1.3711 2.1721
Si -1.1861 3.4255 2.1721
Si 1.1874 0.6855 6.5162
Si 1.1861 3.4255 2.1721
Si 3.5596 0.6855 6.5162
Si 2.3735 2.7399 6.5162
```



2.
## FeSi2 (PBE-GGA)

Data for a relaxed FeSi2 crystal.

M_tot, μB per formula unit: 0.0
Formation energy from raw total energies, meV/atom: -193
DOS at the Fermi energy, states/eV/atom: 0.716
Crystal system: tetragonal
DFT total energy, eV per atom: -6.63

```
12
Lattice="2.6667 0.0000 0.0000 0.0000 2.6667 0.0000 0.0000 0.0000 20.6532" Properties=species:S:1:pos:R:3 pbc="T T T"
Fe 0.0000 0.6667 7.7449
Fe 0.0000 2.0001 12.9082
Fe 1.3334 0.6667 2.5816
Fe 1.3334 2.0001 18.0715
Si 0.0000 0.6667 16.6083
Si 0.0000 0.6667 19.5348
Si 0.0000 2.0001 1.1184
Si 0.0000 2.0001 4.0449
Si 1.3334 0.6667 11.4450
Si 1.3334 0.6667 14.3715
Si 1.3334 2.0001 6.2817
Si 1.3334 2.0001 9.2082
```



3.
## FeSi3 (PBE-GGA)

Data for a relaxed FeSi3 crystal.

M_tot, μB per formula unit: 0.0
Formation energy from raw total energies, meV/atom: 7
DOS at the Fermi energy, states/eV/atom: 0.248
Crystal system: tetragonal
DFT total energy, eV per atom: -6.18

```
4
Lattice="2.7017 0.0000 0.0000 0.0000 2.7017 0.0000 0.0000 0.0000 6.8410" Properties=species:S:1:pos:R:3 pbc="T T T"
Fe 0.0000 0.0000 0.0000
Si 0.0000 0.0000 3.4205
Si 1.3509 1.3509 1.4356
Si 1.3509 1.3509 5.4054
```



4.
## FeSi2 (PBE-GGA)

Data for a relaxed FeSi2 crystal.

M_tot, μB per formula unit: 0.8
Formation energy from raw total energies, meV/atom: -157
DOS at the Fermi energy, states/eV/atom: 0.472
Crystal system: trigonal
DFT total energy, eV per atom: -6.59

```
3
Lattice="2.7911 0.0000 0.0000 -1.3955 2.4171 0.0000 0.0000 0.0000 5.4598" Properties=species:S:1:pos:R:3 pbc="T T T"
Fe 0.0000 0.0000 0.0000
Si 0.0000 1.6114 1.6950
Si 1.3955 0.8057 3.7648
```



5.
## FeSi3 (PBE-GGA)

Data for a relaxed FeSi3 crystal.

M_tot, μB per formula unit: 0.0
Formation energy from raw total energies, meV/atom: 120
DOS at the Fermi energy, states/eV/atom: 0.367
Crystal system: orthorhombic
DFT total energy, eV per atom: -6.06

```
8
Lattice="3.9467 0.0000 0.0000 0.0000 5.8275 0.0000 0.0000 0.0000 4.4197" Properties=species:S:1:pos:R:3 pbc="T T T"
Fe 0.9867 1.4569 1.0363
Fe 2.9600 4.3707 3.3833
Si 0.9867 0.1461 2.9685
Si 0.9867 2.7676 2.9685
Si 0.9867 4.3707 0.3456
Si 2.9600 1.4569 4.0741
Si 2.9600 3.0599 1.4512
Si 2.9600 5.6814 1.4512
```



6.
## FeSi2 (PBE-GGA)

Data for a relaxed FeSi2 crystal.

M_tot, μB per formula unit: 0.0
Formation energy from raw total energies, meV/atom: -444
Crystal system: orthorhombic
DFT total energy, eV per atom: -6.88

```
24
Lattice="4.9368 -3.8837 0.0000 4.9368 3.8837 0.0000 0.0000 0.0000 7.8110" Properties=species:S:1:pos:R:3 pbc="T T T"
Fe 4.9368 2.3869 6.3433
Fe 2.1378 0.0000 0.0000
Fe 2.7990 0.0000 3.9055
Fe 4.9368 1.4968 2.4378
Fe 4.9368 -1.4968 5.3732
Fe 7.0746 0.0000 3.9055
Fe 7.7358 0.0000 0.0000
Fe 4.9368 -2.3869 1.4677
Si 1.2498 0.3468 5.6775
Si 3.6709 2.1264 4.2930
Si 3.6709 1.7573 0.3875
Si 1.2498 -0.3468 2.1335
Si 3.6870 0.3468 6.0390
Si 6.2027 2.1264 4.2930
Si 6.2027 1.7573 0.3875
Si 3.6870 -0.3468 1.7720
Si 6.1865 0.3468 6.0390
Si 3.6709 -1.7573 7.4235
Si 3.6709 -2.1264 3.5180
Si 6.1865 -0.3468 1.7720
Si 8.6238 0.3468 5.6775
Si 6.2027 -1.7573 7.4235
Si 6.2027 -2.1264 3.5180
Si 8.6238 -0.3468 2.1335
```



7.
## FeSi2 (PBE-GGA)

Data for a relaxed FeSi2 crystal.

M_tot, μB per formula unit: 0.0
Formation energy from raw total energies, meV/atom: -281
DOS at the Fermi energy, states/eV/atom: 0.424
Crystal system: orthorhombic
DFT total energy, eV per atom: -6.72

```
12
Lattice="5.4559 0.0000 0.0000 0.0000 3.5658 0.0000 0.0000 0.0000 7.3512" Properties=species:S:1:pos:R:3 pbc="T T T"
Fe 1.2979 0.8914 1.2078
Fe 1.4300 2.6743 4.8834
Fe 4.0258 0.8914 2.4678
Fe 4.1579 2.6743 6.1434
Si 0.3360 2.6743 2.5671
Si 0.8298 2.6743 7.1290
Si 1.8982 0.8914 3.4534
Si 2.3919 0.8914 6.2427
Si 3.0640 2.6743 1.1085
Si 3.5577 2.6743 3.8978
Si 4.6261 0.8914 0.2222
Si 5.1198 0.8914 4.7841
```



8.
## FeSi2 (PBE-GGA)

Data for a relaxed FeSi2 crystal.

M_tot, μB per formula unit: 2.7
Formation energy from raw total energies, meV/atom: 510
DOS at the Fermi energy, states/eV/atom: 0.726
Crystal system: cubic
DFT total energy, eV per atom: -5.93

```
6
Lattice="0.0000 3.4146 3.4146 3.4146 0.0000 3.4146 3.4146 3.4146 0.0000" Properties=species:S:1:pos:R:3 pbc="T T T"
Fe 0.8536 0.8536 0.8536
Fe 5.9755 5.9755 5.9755
Si 3.4146 1.7073 1.7073
Si 1.7073 3.4146 1.7073
Si 1.7073 1.7073 3.4146
Si 3.4146 3.4146 3.4146
```



9.
## FeSi8 (PBE-GGA)

Data for a relaxed FeSi8 crystal.

M_tot, μB per formula unit: 0.0
Formation energy from raw total energies, meV/atom: 350
DOS at the Fermi energy, states/eV/atom: 0.386
Crystal system: tetragonal
DFT total energy, eV per atom: -5.41

```
9
Lattice="-3.9172 3.9172 1.9570 3.9172 -3.9172 1.9570 3.9172 3.9172 -1.9570" Properties=species:S:1:pos:R:3 pbc="T T T"
Fe 0.0000 0.0000 0.0000
Si 2.5549 0.0000 0.0000
Si 5.2794 0.0000 0.0000
Si 0.0000 2.5549 0.0000
Si 2.6669 2.6669 0.0000
Si 1.2502 -1.2502 1.9570
Si -1.2502 1.2502 1.9570
Si 1.2502 1.2502 1.9570
Si 0.0000 5.2794 0.0000
```



10.
## FeSi2 (PBE-GGA)

Data for a relaxed FeSi2 crystal.

M_tot, μB per formula unit: 0.0
Formation energy from raw total energies, meV/atom: -41
DOS at the Fermi energy, states/eV/atom: 0.523
Crystal system: monoclinic
DFT total energy, eV per atom: -6.48

```
12
Lattice="8.8154 0.0000 0.0000 0.0000 2.8059 0.0000 -0.8425 0.0000 5.8018" Properties=species:S:1:pos:R:3 pbc="T T T"
Fe 0.0000 0.0000 0.0000
Fe 1.5394 1.4029 2.3900
Fe 4.4077 1.4029 0.0000
Fe 5.9471 0.0000 2.3900
Si 0.2637 0.0000 3.7473
Si 1.9647 1.4029 0.0955
Si 2.5929 0.0000 4.1488
Si 3.5152 0.0000 1.7929
Si 4.6714 1.4029 3.7473
Si 6.3724 0.0000 0.0955
Si 7.0006 1.4029 4.1488
Si 7.9229 1.4029 1.7929
```



11.
## Fe3Si2 (PBE-GGA)

Data for a relaxed Fe3Si2 crystal.

M_tot, μB per formula unit: 3.2
Formation energy from raw total energies, meV/atom: -164
DOS at the Fermi energy, states/eV/atom: 0.644
Crystal system: trigonal
DFT total energy, eV per atom: -7.41

```
15
Lattice="2.6278 0.0000 0.0000 -1.3139 2.2757 0.0000 0.0000 0.0000 28.0437" Properties=species:S:1:pos:R:3 pbc="T T T"
Fe 0.0000 0.0000 0.0000
Fe 0.0000 0.0000 5.6400
Fe 0.0000 0.0000 22.4038
Fe 0.0000 1.5171 13.0559
Fe 0.0000 1.5171 18.6958
Fe 0.0000 1.5171 24.3358
Fe 1.3139 0.7586 3.7079
Fe 1.3139 0.7586 9.3479
Fe 1.3139 0.7586 14.9879
Si 0.0000 0.0000 11.1764
Si 0.0000 0.0000 16.8674
Si 0.0000 1.5171 1.8284
Si 0.0000 1.5171 7.5195
Si 1.3139 0.7586 20.5243
Si 1.3139 0.7586 26.2153
```



12.
## Fe2Si (PBE-GGA)

Data for a relaxed Fe2Si crystal.

M_tot, μB per formula unit: 3.9
Formation energy from raw total energies, meV/atom: -224
DOS at the Fermi energy, states/eV/atom: 0.725
Crystal system: trigonal
DFT total energy, eV per atom: -7.67

```
3
Lattice="3.9173 0.0000 0.0000 -1.9587 3.3925 0.0000 0.0000 0.0000 2.5620" Properties=species:S:1:pos:R:3 pbc="T T T"
Fe 0.0000 2.2617 0.4221
Fe 1.9587 1.1308 2.1399
Si 0.0000 0.0000 1.2810
```



> Which value of DFT total energy does entry 4 give?

-6.59 eV per atom



> Among the records above, which one has the lowest DFT total energy?

Fe2Si



> Look up the DFT total energy of the eighth one.

-5.93 eV per atom



Please write out number 9 again, unchanged.
## FeSi8 (PBE-GGA)

Data for a relaxed FeSi8 crystal.

M_tot, μB per formula unit: 0.0
Formation energy from raw total energies, meV/atom: 350
DOS at the Fermi energy, states/eV/atom: 0.386
Crystal system: tetragonal
DFT total energy, eV per atom: -5.41

```
9
Lattice="-3.9172 3.9172 1.9570 3.9172 -3.9172 1.9570 3.9172 3.9172 -1.9570" Properties=species:S:1:pos:R:3 pbc="T T T"
Fe 0.0000 0.0000 0.0000
Si 2.5549 0.0000 0.0000
Si 5.2794 0.0000 0.0000
Si 0.0000 2.5549 0.0000
Si 2.6669 2.6669 0.0000
Si 1.2502 -1.2502 1.9570
Si -1.2502 1.2502 1.9570
Si 1.2502 1.2502 1.9570
Si 0.0000 5.2794 0.0000
```